DFT (PBE with a Hubbard U) results for crystalline Na2FeBO4 at its relaxed geometry.

Unit cell a=5.8499 b=5.8499 c=4.9558 alpha=90.00 beta=90.00 gamma=90.00
Space group I-42m (No. 121)
Symmetry-distinct sites (fractional):
1 Na 0.0000 0.5000 0.0000 x4
2 Fe 0.0000 0.0000 0.0000 x2
3 B 0.0000 0.0000 0.5000 x2
4 O 0.1435 0.1435 0.3093 x8

total energy: -48.2 eV/f.u.